1.
First-principles (PBE) data for an optimized crystal structure of KMg2W, as listed in Alexandria.

Results
Raw total energy: -3.70 eV per atom
Magnetization: 0.05 μB per atom
Energy above the most stable polymorph in this dataset: 3 meV per atom
Formation enthalpy at 0 K: 0.614 eV/atom

abc: 2.9009 2.9009 11.0430
angles: 90.00 90.00 90.00
With the nearest neighbours (Å) after each atom.
Space group P4/mmm (No. 123)
Unique sites:
K 0.0000 0.0000 0.0000 (multiplicity 1)  4 K 2.90
Mg 0.5000 0.5000 0.3041 (multiplicity 2)  4 Mg 2.90, 4 W 2.98
W 0.0000 0.0000 0.5000 (multiplicity 1)  4 W 2.90, 8 Mg 2.98

2.
First-principles (PBE) data for an optimized crystal structure of KMg3W, as listed in Alexandria.

Results
Raw total energy: -1.60 eV per atom
Magnetization: 0.40 μB per atom
Energy above the most stable polymorph in this dataset: 1205 meV per atom
Formation enthalpy at 0 K: 2.164 eV/atom

abc: 5.0964 5.0964 5.0964
angles: 90.00 90.00 90.00
With the nearest neighbours (Å) after each atom.
Space group Pm-3m (No. 221)
Unique sites:
K 0.0000 0.0000 0.0000 (multiplicity 1)  6 Mg 2.55
Mg 0.0000 0.0000 0.5000 (multiplicity 3)  2 K 2.55
W 0.5000 0.5000 0.5000 (multiplicity 1)  12 Mg 3.60